Entry 1:
Here is an optimized crystal structure of Dy2Sc4Sn3O2 from Alexandria via LeMat-Bulk. Energies are from GGA-PBE.

For the calculated density, the calculation gives 6.32 g cm⁻³. For the uncorrected formation energy, the calculation gives -1.55 eV per atom. Its density of states at the Fermi level is 15.5 states/eV per cell.

The space group is I4/mmm (No. 139) and the conventional cell measures 4.395, 4.395 and 24.306 Å, with angles of 90.00, 90.00 and 90.00 degrees. The distinct sites, in fractional coordinates, are Dy at (0.000, 0.000, 0.193), Sc at (0.000, 0.500, 0.082), Sn at (0.000, 0.000, 0.325), Sn at (0.000, 0.000, 0.500) and O at (0.000, 0.000, 0.093).

Entry 2:
Here is an optimized crystal structure of DyScTaO6 from Alexandria via LeMat-Bulk. Energies are from GGA-PBE.

For the calculated density, the calculation gives 6.81 g cm⁻³. For the uncorrected formation energy, the calculation gives -2.90 eV per atom. Its density of states at the Fermi level is 4.7 states/eV per cell.

The space group is P312 (No. 149) and the conventional cell measures 5.5084, 5.5084 and 4.4956 Å, with angles of 90.00, 90.00 and 120.00 degrees. The distinct sites, in fractional coordinates, are Dy at (0.0000, 0.0000, 0.0000), Sc at (0.6667, 0.3333, 0.5000), Ta at (0.3333, 0.6667, 0.0000) and O at (0.0154, 0.3695, 0.2392).

Entry 3:
Here is an optimized crystal structure of TbDy2ScO6 from Alexandria via LeMat-Bulk. Energies are from GGA-PBE.

For the calculated density, the calculation gives 7.36 g cm⁻³. For the uncorrected formation energy, the calculation gives -3.51 eV per atom. Its density of states at the Fermi level is 0.0 states/eV per cell.

The space group is R3 (No. 146, hexagonal axes) and the conventional cell measures 5.7165, 5.7165 and 14.9464 Å, with angles of 90.00, 90.00 and 120.00 degrees. The distinct sites, in fractional coordinates, are Tb at (0.0000, 0.0000, 0.0000), Dy at (0.0000, 0.0000, 0.2787), Dy at (0.0000, 0.0000, 0.7818), Sc at (0.0000, 0.0000, 0.4938), O at (0.0437, 0.3522, 0.5564) and O at (0.0510, 0.6713, 0.0598).

Entry 4:
Here is an optimized crystal structure of DySc2TcO from Alexandria via LeMat-Bulk. Energies are from GGA-PBE.

For the calculated density, the calculation gives 6.66 g cm⁻³. For the uncorrected formation energy, the calculation gives -1.20 eV per atom. Its density of states at the Fermi level is 2.5 states/eV per cell.

The space group is P4mm (No. 99) and the conventional cell measures 4.272, 4.272 and 5.007 Å, with angles of 90.00, 90.00 and 90.00 degrees. The distinct sites, in fractional coordinates, are Dy at (0.000, 0.000, 0.000), Sc at (0.000, 0.500, 0.476), Tc at (0.500, 0.500, 0.091) and O at (0.000, 0.000, 0.530).

Entry 5:
Here is an optimized crystal structure of DySc2TcO8 from Alexandria via LeMat-Bulk. Energies are from GGA-PBE.

For the calculated density, the calculation gives 5.16 g cm⁻³. For the uncorrected formation energy, the calculation gives -2.61 eV per atom.

The space group is Cmmm (No. 65) and the conventional cell measures 6.891, 6.892 and 6.481 Å, with angles of 90.00, 90.00 and 90.00 degrees. The distinct sites, in fractional coordinates, are Dy at (0.000, 0.000, 0.000), Sc at (0.000, 0.500, 0.243), Tc at (0.000, 0.000, 0.500), O at (0.000, 0.192, 0.289), O at (0.184, 0.500, 0.000) and O at (0.221, 0.500, 0.500).

Entry 6:
Here is an optimized crystal structure of DyScTeO6 from Alexandria via LeMat-Bulk. Energies are from GGA-PBE.

For the calculated density, the calculation gives 6.00 g cm⁻³. For the uncorrected formation energy, the calculation gives -2.48 eV per atom. Its density of states at the Fermi level is 0.0 states/eV per cell.

The space group is P-31c (No. 163) and the conventional cell measures 5.3367, 5.3367 and 9.6720 Å, with angles of 90.00, 90.00 and 120.00 degrees. The distinct sites, in fractional coordinates, are Dy at (0.0000, 0.0000, 0.0000), Sc at (0.3333, 0.6667, 0.2500), Te at (0.3333, 0.6667, 0.7500) and O at (0.0241, 0.3683, 0.6375).

Entry 7:
Here is an optimized crystal structure of DyScTeO2 from Alexandria via LeMat-Bulk. Energies are from GGA-PBE.

For the calculated density, the calculation gives 6.43 g cm⁻³. For the uncorrected formation energy, the calculation gives -2.88 eV per atom.

The space group is P2_1/m (No. 11) and the conventional cell measures 6.657, 4.004 and 7.482 Å, with angles of 90.00, 108.03 and 90.00 degrees. The distinct sites, in fractional coordinates, are Dy at (0.178, 0.250, 0.427), Sc at (0.143, 0.250, 0.914), Te at (0.458, 0.750, 0.756), O at (0.016, 0.750, 0.889) and O at (0.019, 0.750, 0.371).

Entry 8:
Here is an optimized crystal structure of DySc2TlO from Alexandria via LeMat-Bulk. Energies are from GGA-PBE.

For the calculated density, the calculation gives 8.15 g cm⁻³. For the uncorrected formation energy, the calculation gives -1.37 eV per atom. Its density of states at the Fermi level is 2.7 states/eV per cell.

The space group is P4/mmm (No. 123) and the conventional cell measures 4.515, 4.515 and 4.729 Å, with angles of 90.00, 90.00 and 90.00 degrees. The distinct sites, in fractional coordinates, are Dy at (0.000, 0.000, 0.000), Sc at (0.000, 0.500, 0.500), Tl at (0.500, 0.500, 0.000) and O at (0.000, 0.000, 0.500).

Question: What is the formula in the first record?
Answer: Dy2Sc4Sn3O2

Question: What is the formula in the fifth record?
Answer: DySc2TcO8

Copy entry 7 word for word.
Here is an optimized crystal structure of DyScTeO2 from Alexandria via LeMat-Bulk. Energies are from GGA-PBE.

For the calculated density, the calculation gives 6.43 g cm⁻³. For the uncorrected formation energy, the calculation gives -2.88 eV per atom.

The space group is P2_1/m (No. 11) and the conventional cell measures 6.657, 4.004 and 7.482 Å, with angles of 90.00, 108.03 and 90.00 degrees. The distinct sites, in fractional coordinates, are Dy at (0.178, 0.250, 0.427), Sc at (0.143, 0.250, 0.914), Te at (0.458, 0.750, 0.756), O at (0.016, 0.750, 0.889) and O at (0.019, 0.750, 0.371).